No. 1
First-principles (PBE) data for a geometry-optimized Ag12Te3Br5 structure, as listed in Alexandria.

Fermi-level density of states (states/eV per atom): 0.15
Crystal system: cubic
Raw total energy (eV per atom): -2.706

Lattice parameters (Å, degrees): 16.5206 16.5206 16.5206 90.00 90.00 90.00
Space group Ia-3d (No. 230)
Unique sites:
Ag (0.0069, 0.0783, 0.6556) (multiplicity 96)
Te (0.0000, 0.2500, 0.1250) (multiplicity 24)
Br (0.0000, 0.0000, 0.0000) (multiplicity 16)
Br (0.0000, 0.2500, 0.3750) (multiplicity 24)

=====

No. 2
First-principles (PBE) data for a geometry-optimized Ag4Te2Br3 structure, as listed in Alexandria.

Fermi-level density of states (states/eV per atom): 0.51
Crystal system: monoclinic
E above lowest polymorph (eV/f.u.): 0.43
Raw total energy (eV per atom): -2.657

Lattice parameters (Å, degrees): 12.4439 11.0895 7.8227 90.00 108.74 90.00
Space group C2/c (No. 15)
Unique sites:
Ag (0.1161, 0.1230, 0.1038) (multiplicity 8)
Ag (0.1684, 0.4220, 0.5868) (multiplicity 8)
Te (0.1640, 0.3403, 0.9223) (multiplicity 8)
Br (0.0000, 0.4129, 0.2500) (multiplicity 4)
Br (0.1154, 0.1157, 0.4790) (multiplicity 8)

=====

No. 3
First-principles (PBE) data for a geometry-optimized Ag2TeBr structure, as listed in Alexandria.

Fermi-level density of states (states/eV per atom): 0.41
Crystal system: tetragonal
E above lowest polymorph (eV/f.u.): 0.74
Raw total energy (eV per atom): -2.576

Lattice parameters (Å, degrees): 3.5070 3.5070 7.7542 90.00 90.00 90.00
Space group P4/mmm (No. 123)
Unique sites:
Ag (0.0000, 0.0000, 0.2484) (multiplicity 2)
Te (0.5000, 0.5000, 0.0000) (multiplicity 1)
Br (0.5000, 0.5000, 0.5000) (multiplicity 1)